Density functional theory data (meta-GGA SCAN) for a crystal of SbMo2Pt relaxed with PBEsol.

Cell lengths 2.9317, 2.9317, 26.6612 Å; angles 90.00, 90.00, 120.00 degrees
Space group R-3m (No. 166, hexagonal axes)
Symmetry-distinct sites (fractional):
1 Sb 0.0000 0.0000 0.0000 [3 per cell]
2 Mo 0.0000 0.0000 0.2481 [6 per cell]
3 Pt 0.0000 0.0000 0.5000 [3 per cell]

Summary:
Formation energy without anion corrections = 331 meV per atom
Magnetization = 0.000 μB/atom
V = 198.4 Å³ per cell

=====

Density functional theory data (meta-GGA SCAN) for a crystal of BeRe2As relaxed with PBEsol.

Cell lengths 3.0118, 3.0118, 5.6763 Å; angles 90.00, 90.00, 90.00 degrees
Space group P4mm (No. 99)
Symmetry-distinct sites (fractional):
1 Be 0.0000 0.0000 0.0000 [1 per cell]
2 Re 0.0000 0.0000 0.4981 [1 per cell]
3 Re 0.5000 0.5000 0.1975 [1 per cell]
4 As 0.5000 0.5000 0.7548 [1 per cell]

Summary:
Magnetization = 0.000 μB/atom
Energy above the most stable polymorph in this dataset = 0 meV per atom
V = 51.5 Å³ per cell

=====

Density functional theory data (meta-GGA SCAN) for a crystal of Dy3S2Cl5 relaxed with PBEsol.

Cell lengths 6.7289, 21.2247, 6.2738 Å; angles 90.00, 90.00, 90.00 degrees
Space group Pnma (No. 62)
Symmetry-distinct sites (fractional):
1 Dy 0.0350 0.2500 0.0479 [4 per cell]
2 Dy 0.1218 0.0978 0.4521 [8 per cell]
3 S 0.1716 0.6720 0.6870 [8 per cell]
4 Cl 0.0347 0.6186 0.1604 [8 per cell]
5 Cl 0.1689 0.5185 0.6761 [8 per cell]
6 Cl 0.1779 0.2500 0.6485 [4 per cell]

Summary:
Formation energy without anion corrections = -2470 meV per atom
Magnetization = 0.000 μB/atom
V = 896.0 Å³ per cell

=====

Question: Which value of magnetization does entry 2 give?
Answer: 0.000 μB/atom